{"formula": "CdIrPb2", "functional": "PBE", "state": "relaxed", "cell": [[-7.486, 4.488, -2.742], [-0.151, -4.951, -7.691], [-5.373, -2.079, -3.997]], "species": ["Pb", "Pb", "Pb", "Pb", "Ir", "Ir", "Cd", "Cd"], "frac_coords": [[0.732, 0.125, 0.250], [0.018, 0.625, 0.250], [0.375, 0.268, 0.750], [0.875, 0.982, 0.750], [0.000, 0.000, 0.000], [0.750, 0.250, 0.500], [0.500, 0.500, 0.000], [0.250, 0.750, 0.500]], "dos_ef_per_ev_fu": 2.44, "sg": "I-42d, No. 122", "total_magnetization_mub_per_fu": 0.00}

{"formula": "Cd2IrPb", "functional": "PBE", "state": "relaxed", "cell": [[8.861, 0.000, 0.000], [0.000, 8.861, 0.000], [4.431, 4.431, 2.636]], "species": ["Pb", "Pb", "Ir", "Ir", "Cd", "Cd", "Cd", "Cd"], "frac_coords": [[0.000, 0.000, 0.000], [0.750, 0.250, 0.500], [0.500, 0.500, 0.000], [0.250, 0.750, 0.500], [0.537, 0.125, 0.250], [0.213, 0.625, 0.250], [0.375, 0.463, 0.750], [0.875, 0.787, 0.750]], "dos_ef_per_ev_fu": 2.07, "sg": "I-42d, No. 122", "total_magnetization_mub_per_fu": 0.00}

{"formula": "CdIrPb2", "functional": "PBE", "state": "relaxed", "cell": [[3.267, 0.000, 0.000], [0.000, 3.267, 0.000], [0.000, 0.000, 9.123]], "species": ["Pb", "Pb", "Ir", "Cd"], "frac_coords": [[0.000, 0.000, 0.930], [0.500, 0.500, 0.281], [0.500, 0.500, 0.737], [0.000, 0.000, 0.552]], "dos_ef_per_ev_fu": 1.65, "sg": "P4mm, No. 99", "total_magnetization_mub_per_fu": 0.00}

Number 1: calculated formation energy 0.218 eV per atom. Number 2: calculated formation energy 0.313 eV per atom. Number 3: calculated formation energy 0.185 eV per atom.